Density functional theory data (meta-GGA SCAN) for CoWS2 at its PBEsol-relaxed geometry.

Values from the calculation:
M_tot in μB per cell: 1.5
Energy relative to the elements, uncorrected in kJ/mol of formula units: -26
Distance to the lowest polymorph of the same formula in meV/atom: 0.0
Crystal system: trigonal

Cell: 3.038 3.038 7.705 Å, 78.63 78.63 60.00°
Site moments in Bohr magnetons follow the coordinates.
Fractional coordinates of all 4 atoms:
1 S 0.907 0.907 0.280  0.03
2 S 0.093 0.093 0.720  0.03
3 Co 0.000 0.000 0.000  1.67
4 W 0.500 0.500 0.500  -0.07

Density functional theory data (meta-GGA SCAN) for Co3WS at its PBEsol-relaxed geometry.

Values from the calculation:
M_tot in μB per cell: 3.4
Energy relative to the elements, uncorrected in kJ/mol of formula units: 852
Distance to the lowest polymorph of the same formula in meV/atom: 938.8
Crystal system: cubic

Cell: 4.387 4.387 4.387 Å, 90.00 90.00 90.00°
Site moments in Bohr magnetons follow the coordinates.
Fractional coordinates of all 5 atoms:
1 S 0.500 0.500 0.500  0.05
2 Co 0.000 0.500 0.000  1.16
3 Co 0.000 0.000 0.500  1.16
4 Co 0.500 0.000 0.000  1.16
5 W 0.000 0.000 0.000  -0.25

Density functional theory data (meta-GGA SCAN) for CoWS2 at its PBEsol-relaxed geometry.

Values from the calculation:
M_tot in μB per cell: 0.0
Energy relative to the elements, uncorrected in kJ/mol of formula units: 1
Distance to the lowest polymorph of the same formula in meV/atom: 69.6
Crystal system: tetragonal

Cell: 5.173 5.173 6.098 Å, 115.10 115.10 90.00°
Fractional coordinates of all 8 atoms:
1 S 0.402 0.875 0.250
2 S 0.848 0.375 0.250
3 S 0.125 0.152 0.750
4 S 0.625 0.598 0.750
5 Co 0.750 0.250 0.500
6 Co 0.500 0.500 0.000
7 W 0.250 0.750 0.500
8 W 0.000 0.000 0.000

Density functional theory data (meta-GGA SCAN) for Co3WS at its PBEsol-relaxed geometry.

Values from the calculation:
M_tot in μB per cell: 5.5
Energy relative to the elements, uncorrected in kJ/mol of formula units: 399
Distance to the lowest polymorph of the same formula in meV/atom: 0.0
Crystal system: cubic

Cell: 4.006 4.006 4.006 Å, 90.00 90.00 90.00°
Site moments in Bohr magnetons follow the coordinates.
Fractional coordinates of all 5 atoms:
1 S 0.000 0.000 0.000  0.12
2 Co 0.000 0.500 0.000  1.23
3 Co 0.000 0.000 0.500  1.23
4 Co 0.500 0.000 0.000  1.23
5 W 0.500 0.500 0.500  1.52

Density functional theory data (meta-GGA SCAN) for YCoS2 at its PBEsol-relaxed geometry.

Values from the calculation:
M_tot in μB per cell: 4.0
Energy relative to the elements, uncorrected in kJ/mol of formula units: -467
Crystal system: tetragonal

Cell: 5.300 5.300 7.041 Å, 112.11 112.11 90.00°
Site moments in Bohr magnetons follow the coordinates.
Fractional coordinates of all 8 atoms:
1 Y 0.250 0.750 0.500  -0.04
2 Y 0.000 0.000 0.000  -0.04
3 S 0.438 0.875 0.250  0.07
4 S 0.812 0.375 0.250  0.07
5 S 0.125 0.188 0.750  0.07
6 S 0.625 0.562 0.750  0.07
7 Co 0.750 0.250 0.500  1.89
8 Co 0.500 0.500 0.000  1.89

Density functional theory data (meta-GGA SCAN) for CoSb at its PBEsol-relaxed geometry.

Values from the calculation:
M_tot in μB per cell: 0.6
Energy relative to the elements, uncorrected in kJ/mol of formula units: 103
Crystal system: cubic

Cell: 3.945 3.945 3.945 Å, 60.00 60.00 60.00°
Site moments in Bohr magnetons follow the coordinates.
Fractional coordinates of all 2 atoms:
1 Sb 0.250 0.250 0.250  -0.04
2 Co 0.000 0.000 0.000  0.61